Compound: SmTlTeO
Source: OQMD via LeMat-Bulk
Functional: PBE-GGA
Structure: optimized geometry

a b c (Å): 4.957 8.261 6.890
angles (deg): 90.00 90.00 90.00
Fractional coordinates of all 8 atoms:
Sm 0.000 0.124 0.000
Sm 0.000 0.876 0.500
Tl 0.500 0.276 0.599
Tl 0.500 0.724 0.099
Te 0.500 0.320 0.107
Te 0.500 0.680 0.607
O 0.000 0.082 0.690
O 0.000 0.918 0.190

uncorrected energy	-5.3616	eV per atom

***

Compound: La3Al3GeIr2
Source: OQMD via LeMat-Bulk
Functional: PBE-GGA
Structure: optimized geometry

a b c (Å): 7.391 7.391 4.209
angles (deg): 90.00 90.00 120.00
Fractional coordinates of all 9 atoms:
La 0.000 0.412 0.000
La 0.412 0.000 0.000
La 0.588 0.588 0.000
Al 0.000 0.739 0.500
Al 0.261 0.261 0.500
Al 0.739 0.000 0.500
Ge 0.000 0.000 0.000
Ir 0.333 0.667 0.500
Ir 0.667 0.333 0.500

uncorrected energy	-6.0208	eV per atom